The following is a PBE calculation of an optimized crystal structure of TiRe2HgBi, from the Alexandria database.

Unit cell a=4.7072 b=4.7072 c=5.2018 alpha=90.00 beta=90.00 gamma=90.00
Last column: nearest neighbours and their distance in Å.
Element x y z (fractional)
Ti: 0.0000 0.0000 0.0000  4 Re 2.35, 2 Bi 2.60
Re: 0.0000 0.5000 0.0000  2 Ti 2.35
Re: 0.5000 0.0000 0.0000  2 Ti 2.35
Hg: 0.5000 0.5000 0.5000  4 Bi 3.33, 8 Re 3.51
Bi: 0.0000 0.0000 0.5000  2 Ti 2.60

Computed properties:
total magnetization = 1.49 μB/f.u.
E_form = 1.6604 eV/atom
space group = P4/mmm

***

The following is a PBE calculation of an optimized crystal structure of PrHo2Ge, from the Alexandria database.

Unit cell a=10.0007 b=10.0007 c=10.0007 alpha=21.78 beta=21.78 gamma=21.78
Last column: nearest neighbours and their distance in Å.
Element x y z (fractional)
Pr: 0.0000 0.0000 0.0000  6 Ho 3.70-3.75, 6 Pr 3.78
Ho: 0.2314 0.2314 0.2314  3 Ge 2.86
Ho: 0.4375 0.4375 0.4375  3 Ge 2.87
Ge: 0.8347 0.8347 0.8347  6 Ho 2.86-2.87

Computed properties:
total magnetization = 0.00 μB/f.u.
distance to the lowest polymorph of the same formula = 71 meV per atom
E_form = -0.2522 eV/atom
space group = R3m

***

The following is a PBE calculation of an optimized crystal structure of Tb2Ni2SnRh5, from the Alexandria database.

Unit cell a=9.2795 b=9.2795 c=3.8731 alpha=90.00 beta=90.00 gamma=90.00
Last column: nearest neighbours and their distance in Å.
Element x y z (fractional)
Tb: 0.1743 0.3257 0.0000  3 Ni 2.68-2.79, 2 Rh 3.00
Tb: 0.3257 0.8257 0.0000  3 Ni 2.68-2.79, 2 Rh 3.00
Tb: 0.6743 0.1743 0.0000  3 Ni 2.68-2.79, 2 Rh 3.00
Tb: 0.8257 0.6743 0.0000  3 Ni 2.68-2.79, 2 Rh 3.00
Ni: 0.1217 0.6217 0.0000  6 Rh 2.51-2.53, 3 Tb 2.68-2.79
Ni: 0.3783 0.1217 0.0000  6 Rh 2.51-2.53, 3 Tb 2.68-2.79
Ni: 0.6217 0.8783 0.0000  6 Rh 2.51-2.53, 3 Tb 2.68-2.79
Ni: 0.8783 0.3783 0.0000  6 Rh 2.51-2.53, 3 Tb 2.68-2.79
Sn: 0.0000 0.0000 0.0000  8 Rh 2.83
Sn: 0.5000 0.5000 0.0000  8 Rh 2.83
Rh: 0.0000 0.5000 0.5000  4 Ni 2.51, 4 Rh 2.76
Rh: 0.0697 0.7889 0.5000  2 Ni 2.53, 1 Rh 2.76, 2 Sn 2.83
Rh: 0.2111 0.0697 0.5000  2 Ni 2.53, 1 Rh 2.76, 2 Sn 2.83
Rh: 0.2889 0.5697 0.5000  2 Ni 2.53, 1 Rh 2.76, 2 Sn 2.83
Rh: 0.4303 0.2889 0.5000  2 Ni 2.53, 1 Rh 2.76, 2 Sn 2.83
Rh: 0.5000 0.0000 0.5000  4 Ni 2.51, 4 Rh 2.76
Rh: 0.5697 0.7111 0.5000  2 Ni 2.53, 1 Rh 2.76, 2 Sn 2.83
Rh: 0.7111 0.4303 0.5000  2 Ni 2.53, 1 Rh 2.76, 2 Sn 2.83
Rh: 0.7889 0.9303 0.5000  2 Ni 2.53, 1 Rh 2.76, 2 Sn 2.83
Rh: 0.9303 0.2111 0.5000  2 Ni 2.53, 1 Rh 2.76, 2 Sn 2.83

Computed properties:
total magnetization = 0.00 μB/f.u.
E_form = -0.5570 eV/atom
space group = P4/mbm

***

The following is a PBE calculation of an optimized crystal structure of CdRuOF2, from the Alexandria database.

Unit cell a=4.4423 b=4.4423 c=3.6973 alpha=90.00 beta=90.00 gamma=90.00
Last column: nearest neighbours and their distance in Å.
Element x y z (fractional)
Cd: 0.0000 0.0000 0.0000  8 F 2.89, 4 O 3.14
Ru: 0.5000 0.5000 0.5000  2 O 1.85
O: 0.5000 0.5000 0.0000  2 Ru 1.85
F: 0.0000 0.5000 0.5000  2 Ru 2.22
F: 0.5000 0.0000 0.5000  2 Ru 2.22

Computed properties:
ΔE_f (raw) = -0.948 eV per atom
total magnetization = 0.51 μB/f.u.
distance to the lowest polymorph of the same formula = 0 meV per atom
space group = P4/mmm

***

The following is a PBE calculation of an optimized crystal structure of YZrPaO6, from the Alexandria database.

Unit cell a=5.6226 b=5.6226 c=9.4871 alpha=90.00 beta=90.00 gamma=120.00
Last column: nearest neighbours and their distance in Å.
Element x y z (fractional)
Y: 0.3333 0.6667 0.2500  6 O 2.29
Y: 0.6667 0.3333 0.7500  6 O 2.29
Zr: 0.3333 0.6667 0.7500  6 O 2.13
Zr: 0.6667 0.3333 0.2500  6 O 2.13
Pa: 0.0000 0.0000 0.0000  6 O 2.22
Pa: 0.0000 0.0000 0.5000  6 O 2.22
O: 0.0213 0.3381 0.6296  1 Zr 2.13, 1 Pa 2.22, 1 Y 2.29
O: 0.0213 0.6831 0.8704  1 Zr 2.13, 1 Pa 2.22, 1 Y 2.29
O: 0.3169 0.3381 0.8704  1 Zr 2.13, 1 Pa 2.22, 1 Y 2.29
O: 0.3169 0.9787 0.6296  1 Zr 2.13, 1 Pa 2.22, 1 Y 2.29
O: 0.3381 0.0213 0.1296  1 Zr 2.13, 1 Pa 2.22, 1 Y 2.29
O: 0.3381 0.3169 0.3704  1 Zr 2.13, 1 Pa 2.22, 1 Y 2.29
O: 0.6619 0.6831 0.6296  1 Zr 2.13, 1 Pa 2.22, 1 Y 2.29
O: 0.6619 0.9787 0.8704  1 Zr 2.13, 1 Pa 2.22, 1 Y 2.29
O: 0.6831 0.0213 0.3704  1 Zr 2.13, 1 Pa 2.22, 1 Y 2.29
O: 0.6831 0.6619 0.1296  1 Zr 2.13, 1 Pa 2.22, 1 Y 2.29
O: 0.9787 0.3169 0.1296  1 Zr 2.13, 1 Pa 2.22, 1 Y 2.29
O: 0.9787 0.6619 0.3704  1 Zr 2.13, 1 Pa 2.22, 1 Y 2.29

Computed properties:
ΔE_f (raw) = -3.429 eV per atom
total magnetization = 0.00 μB/f.u.
space group = P-31c

***

The following is a PBE calculation of an optimized crystal structure of K2VBi, from the Alexandria database.

Unit cell a=9.6538 b=9.6538 c=9.6538 alpha=94.37 beta=94.37 gamma=147.96
Last column: nearest neighbours and their distance in Å.
Element x y z (fractional)
K: 0.3750 0.0808 0.2058  2 V 3.40
K: 0.8308 0.6250 0.7058  2 V 3.40
K: 0.8750 0.1692 0.7942  2 V 3.40
K: 0.9192 0.1250 0.2942  2 V 3.40
V: 0.0000 0.0000 0.0000  2 Bi 2.66
V: 0.7500 0.2500 0.5000  2 Bi 2.66
Bi: 0.2500 0.7500 0.5000  2 V 2.66
Bi: 0.5000 0.5000 0.0000  2 V 2.66

Computed properties:
total magnetization = 3.80 μB/f.u.
E_form = 0.4188 eV/atom
space group = I-42d

***

The following is a PBE calculation of an optimized crystal structure of SrLi2Au, from the Alexandria database.

Unit cell a=5.0129 b=5.0129 c=5.0129 alpha=60.00 beta=60.00 gamma=60.00
Last column: nearest neighbours and their distance in Å.
Element x y z (fractional)
Sr: 0.0000 0.0000 0.0000  8 Li 3.07
Li: 0.2500 0.2500 0.2500  4 Au 3.07, 4 Sr 3.07
Li: 0.7500 0.7500 0.7500  4 Au 3.07, 4 Sr 3.07
Au: 0.5000 0.5000 0.5000  8 Li 3.07

Computed properties:
total magnetization = 0.00 μB/f.u.
distance to the lowest polymorph of the same formula = 172 meV per atom
E_form = -0.2544 eV/atom
space group = Fm-3m

***

The following is a PBE calculation of an optimized crystal structure of NaScSn, from the Alexandria database.

Unit cell a=5.0058 b=5.0058 c=3.3236 alpha=90.00 beta=90.00 gamma=120.00
Last column: nearest neighbours and their distance in Å.
Element x y z (fractional)
Na: 0.0000 0.0000 0.0000  3 Sn 3.02, 3 Sc 3.16, 2 Na 3.32
Sc: 0.3333 0.6667 0.6182  3 Sn 3.13, 3 Na 3.16, 2 Sc 3.32
Sn: 0.6667 0.3333 0.2605  3 Na 3.02, 3 Sc 3.13, 2 Sn 3.32

Computed properties:
total magnetization = 0.00 μB/f.u.
E_form = -0.1674 eV/atom
space group = P3m1

***

The following is a PBE calculation of an optimized crystal structure of ScMnNbTc, from the Alexandria database.

Unit cell a=4.4929 b=4.4929 c=4.4929 alpha=60.00 beta=60.00 gamma=60.00
Last column: nearest neighbours and their distance in Å.
Element x y z (fractional)
Sc: 0.0000 0.0000 0.0000  4 Mn 2.75, 4 Tc 2.75
Mn: 0.7500 0.7500 0.7500  4 Nb 2.75, 4 Sc 2.75
Nb: 0.5000 0.5000 0.5000  4 Mn 2.75, 4 Tc 2.75
Tc: 0.2500 0.2500 0.2500  4 Nb 2.75, 4 Sc 2.75

Computed properties:
total magnetization = 1.44 μB/f.u.
E_form = -0.1296 eV/atom
space group = F-43m

***

The following is a PBE calculation of an optimized crystal structure of Er4Ga6Ru7, from the Alexandria database.

Unit cell a=7.2393 b=7.2393 c=7.2393 alpha=109.47 beta=109.47 gamma=109.47
Last column: nearest neighbours and their distance in Å.
Element x y z (fractional)
Er: 0.0000 0.0000 0.5000  6 Ru 2.96, 6 Ga 3.00
Er: 0.0000 0.5000 0.0000  6 Ru 2.96, 6 Ga 3.00
Er: 0.5000 0.0000 0.0000  6 Ru 2.96, 6 Ga 3.00
Er: 0.5000 0.5000 0.5000  6 Ru 2.96, 6 Ga 3.00
Ga: 0.0000 0.3090 0.3090  5 Ru 2.58-2.63
Ga: 0.0000 0.6909 0.6909  5 Ru 2.58-2.63
Ga: 0.3090 0.0000 0.3090  5 Ru 2.58-2.63
Ga: 0.3090 0.3090 0.0000  5 Ru 2.58-2.63
Ga: 0.6909 0.0000 0.6909  5 Ru 2.58-2.63
Ga: 0.6909 0.6909 0.0000  5 Ru 2.58-2.63
Ru: 0.0000 0.0000 0.0000  6 Ga 2.58
Ru: 0.2500 0.5000 0.7500  4 Ga 2.63
Ru: 0.2500 0.7500 0.5000  4 Ga 2.63
Ru: 0.5000 0.2500 0.7500  4 Ga 2.63
Ru: 0.5000 0.7500 0.2500  4 Ga 2.63
Ru: 0.7500 0.2500 0.5000  4 Ga 2.63
Ru: 0.7500 0.5000 0.2500  4 Ga 2.63

Computed properties:
total magnetization = 0.00 μB/f.u.
E_form = -0.4398 eV/atom
space group = Im-3m

***

The following is a PBE calculation of an optimized crystal structure of TiNbW2, from the Alexandria database.

Unit cell a=2.7293 b=9.2833 c=10.6194 alpha=90.00 beta=90.00 gamma=90.00
Last column: nearest neighbours and their distance in Å.
Element x y z (fractional)
Ti: 0.0482 0.2494 0.3810  4 W 2.69-3.01, 4 Ti 2.73-2.87, 1 Nb 2.73
Ti: 0.4518 0.7506 0.8810  4 W 2.69-3.01, 4 Ti 2.73-2.87, 1 Nb 2.73
Ti: 0.5482 0.2506 0.6190  4 W 2.69-3.01, 4 Ti 2.73-2.87, 1 Nb 2.73
Ti: 0.9518 0.7494 0.1190  4 W 2.69-3.01, 4 Ti 2.73-2.87, 1 Nb 2.73
Nb: 0.0581 0.7499 0.3748  4 Nb 2.73-2.99, 1 Ti 2.73, 5 W 2.80-3.00
Nb: 0.4419 0.2501 0.8748  4 Nb 2.73-2.99, 1 Ti 2.73, 5 W 2.80-3.00
Nb: 0.5581 0.7501 0.6252  4 Nb 2.73-2.99, 1 Ti 2.73, 5 W 2.80-3.00
Nb: 0.9419 0.2499 0.1252  4 Nb 2.73-2.99, 1 Ti 2.73, 5 W 2.80-3.00
W: 0.0553 0.4995 0.7482  4 W 2.73-2.80, 3 Nb 2.88-3.00, 3 Ti 2.93-3.02
W: 0.2160 0.9952 0.0031  2 Ti 2.69, 4 W 2.73-2.80, 2 Nb 2.80
W: 0.2840 0.0048 0.5031  2 Ti 2.69, 4 W 2.73-2.80, 2 Nb 2.80
W: 0.4447 0.5005 0.2482  4 W 2.73-2.80, 3 Nb 2.88-3.00, 3 Ti 2.93-3.02
W: 0.5553 0.0005 0.2518  4 W 2.73-2.80, 3 Nb 2.88-3.00, 3 Ti 2.93-3.02
W: 0.7160 0.5048 0.9969  2 Ti 2.69, 4 W 2.73-2.80, 2 Nb 2.80
W: 0.7840 0.4952 0.4969  2 Ti 2.69, 4 W 2.73-2.80, 2 Nb 2.80
W: 0.9447 0.9995 0.7518  4 W 2.73-2.80, 3 Nb 2.88-3.00, 3 Ti 2.93-3.02

Computed properties:
total magnetization = 0.00 μB/f.u.
E_form = 0.1005 eV/atom
space group = P2_12_12_1

***

Repeat the fifth record exactly.
The following is a PBE calculation of an optimized crystal structure of YZrPaO6, from the Alexandria database.

Unit cell a=5.6226 b=5.6226 c=9.4871 alpha=90.00 beta=90.00 gamma=120.00
Last column: nearest neighbours and their distance in Å.
Element x y z (fractional)
Y: 0.3333 0.6667 0.2500  6 O 2.29
Y: 0.6667 0.3333 0.7500  6 O 2.29
Zr: 0.3333 0.6667 0.7500  6 O 2.13
Zr: 0.6667 0.3333 0.2500  6 O 2.13
Pa: 0.0000 0.0000 0.0000  6 O 2.22
Pa: 0.0000 0.0000 0.5000  6 O 2.22
O: 0.0213 0.3381 0.6296  1 Zr 2.13, 1 Pa 2.22, 1 Y 2.29
O: 0.0213 0.6831 0.8704  1 Zr 2.13, 1 Pa 2.22, 1 Y 2.29
O: 0.3169 0.3381 0.8704  1 Zr 2.13, 1 Pa 2.22, 1 Y 2.29
O: 0.3169 0.9787 0.6296  1 Zr 2.13, 1 Pa 2.22, 1 Y 2.29
O: 0.3381 0.0213 0.1296  1 Zr 2.13, 1 Pa 2.22, 1 Y 2.29
O: 0.3381 0.3169 0.3704  1 Zr 2.13, 1 Pa 2.22, 1 Y 2.29
O: 0.6619 0.6831 0.6296  1 Zr 2.13, 1 Pa 2.22, 1 Y 2.29
O: 0.6619 0.9787 0.8704  1 Zr 2.13, 1 Pa 2.22, 1 Y 2.29
O: 0.6831 0.0213 0.3704  1 Zr 2.13, 1 Pa 2.22, 1 Y 2.29
O: 0.6831 0.6619 0.1296  1 Zr 2.13, 1 Pa 2.22, 1 Y 2.29
O: 0.9787 0.3169 0.1296  1 Zr 2.13, 1 Pa 2.22, 1 Y 2.29
O: 0.9787 0.6619 0.3704  1 Zr 2.13, 1 Pa 2.22, 1 Y 2.29

Computed properties:
ΔE_f (raw) = -3.429 eV per atom
total magnetization = 0.00 μB/f.u.
space group = P-31c

***

total magnetization of number 4 (CdRuOF2)? 0.51 μB/f.u.

***

Repeat the tenth record exactly.
The following is a PBE calculation of an optimized crystal structure of Er4Ga6Ru7, from the Alexandria database.

Unit cell a=7.2393 b=7.2393 c=7.2393 alpha=109.47 beta=109.47 gamma=109.47
Last column: nearest neighbours and their distance in Å.
Element x y z (fractional)
Er: 0.0000 0.0000 0.5000  6 Ru 2.96, 6 Ga 3.00
Er: 0.0000 0.5000 0.0000  6 Ru 2.96, 6 Ga 3.00
Er: 0.5000 0.0000 0.0000  6 Ru 2.96, 6 Ga 3.00
Er: 0.5000 0.5000 0.5000  6 Ru 2.96, 6 Ga 3.00
Ga: 0.0000 0.3090 0.3090  5 Ru 2.58-2.63
Ga: 0.0000 0.6909 0.6909  5 Ru 2.58-2.63
Ga: 0.3090 0.0000 0.3090  5 Ru 2.58-2.63
Ga: 0.3090 0.3090 0.0000  5 Ru 2.58-2.63
Ga: 0.6909 0.0000 0.6909  5 Ru 2.58-2.63
Ga: 0.6909 0.6909 0.0000  5 Ru 2.58-2.63
Ru: 0.0000 0.0000 0.0000  6 Ga 2.58
Ru: 0.2500 0.5000 0.7500  4 Ga 2.63
Ru: 0.2500 0.7500 0.5000  4 Ga 2.63
Ru: 0.5000 0.2500 0.7500  4 Ga 2.63
Ru: 0.5000 0.7500 0.2500  4 Ga 2.63
Ru: 0.7500 0.2500 0.5000  4 Ga 2.63
Ru: 0.7500 0.5000 0.2500  4 Ga 2.63

Computed properties:
total magnetization = 0.00 μB/f.u.
E_form = -0.4398 eV/atom
space group = Im-3m